(1)
The following is a DFT calculation (PBE-GGA) of a relaxed TaAgSb2 crystal.

a = 3.3918 Å, b = 5.7999 Å, c = 5.8541 Å
α = 48.00°, β = 90.00°, γ = 90.00°
Fractional positions:
Sb 0.5000 0.5000 0.0000
Sb 0.0000 0.0000 0.0000
Ta 0.5000 0.5000 0.5000
Ag 0.0000 0.0000 0.5000

Computed properties:
**ρ**: 10.3 g/cm3
**Formation energy (no corrections)**: 331 meV/atom


(2)
The following is a DFT calculation (PBE-GGA) of a relaxed TaAgSb2 crystal.

a = 5.1995 Å, b = 5.1995 Å, c = 5.1995 Å
α = 128.00°, β = 128.00°, γ = 76.62°
Last column: magnetic moment on the atom in μB.
Fractional positions:
Sb 0.0000 0.0000 0.0000  0.00
Sb 0.5000 0.5000 0.0000  0.00
Ta 0.2500 0.7500 0.5000  0.10
Ag 0.7500 0.2500 0.5000  0.00

Computed properties:
**ρ**: 10.4 g/cm3
**Formation energy (no corrections)**: 373 meV/atom


(3)
The following is a DFT calculation (PBE-GGA) of a relaxed TaAgSb2 crystal.

a = 3.5785 Å, b = 4.8386 Å, c = 4.8386 Å
α = 90.00°, β = 90.00°, γ = 90.00°
Fractional positions:
Sb 0.0000 0.0000 0.0000
Sb 0.0000 0.5000 0.5000
Ag 0.5000 0.0000 0.5000
Ta 0.5000 0.5000 0.0000

Computed properties:
**ρ**: 10.6 g/cm3
**Formation energy (no corrections)**: 300 meV/atom


(4)
The following is a DFT calculation (PBE-GGA) of a relaxed TaAgSb2 crystal.

a = 3.1800 Å, b = 3.1800 Å, c = 9.2192 Å
α = 90.00°, β = 90.00°, γ = 105.68°
Fractional positions:
Sb 0.0000 0.0000 0.4808
Sb 0.0000 0.0000 0.0192
Ag 0.5000 0.5000 0.7500
Ta 0.5000 0.5000 0.2500

Computed properties:
**ρ**: 9.8 g/cm3
**Formation energy (no corrections)**: 267 meV/atom


(5)
The following is a DFT calculation (PBE-GGA) of a relaxed TaAgSb2 crystal.

a = 3.0717 Å, b = 4.1796 Å, c = 7.6145 Å
α = 90.00°, β = 90.00°, γ = 90.00°
Fractional positions:
Sb 0.0000 0.0000 0.9073
Sb 0.5000 0.5000 0.3321
Ag 0.5000 0.5000 0.7279
Ta 0.0000 0.0000 0.5327

Computed properties:
**ρ**: 9.0 g/cm3
**Formation energy (no corrections)**: 206 meV/atom


(6)
The following is a DFT calculation (PBE-GGA) of a relaxed TaAgSb2 crystal.

a = 5.8083 Å, b = 5.8083 Å, c = 5.8083 Å
α = 138.39°, β = 138.39°, γ = 60.31°
Fractional positions:
Ag 0.7500 0.2500 0.5000
Sb 0.0000 0.0000 0.0000
Sb 0.2500 0.7500 0.5000
Ta 0.5000 0.5000 0.0000

Computed properties:
**ρ**: 10.3 g/cm3
**Formation energy (no corrections)**: 375 meV/atom


(7)
The following is a DFT calculation (PBE-GGA) of a relaxed TaAgSb2 crystal.

a = 5.0633 Å, b = 5.0633 Å, c = 5.7917 Å
α = 83.28°, β = 83.28°, γ = 36.37°
Fractional positions:
Ag 0.2500 0.2500 0.2500
Sb 0.0171 0.0171 0.9794
Sb 0.4829 0.4829 0.5206
Ta 0.7500 0.7500 0.7500

Computed properties:
**ρ**: 10.1 g/cm3
**Formation energy (no corrections)**: 328 meV/atom


(8)
The following is a DFT calculation (PBE-GGA) of a relaxed TaAgSb2 crystal.

a = 4.9626 Å, b = 4.9626 Å, c = 4.9626 Å
α = 60.00°, β = 60.00°, γ = 60.00°
Last column: magnetic moment on the atom in μB.
Fractional positions:
Ta 0.5000 0.5000 0.5000  0.39
Ag 0.0000 0.0000 0.0000  0.02
Sb 0.7500 0.7500 0.7500  -0.01
Sb 0.2500 0.2500 0.2500  -0.01

Computed properties:
**ρ**: 10.2 g/cm3
**Formation energy (no corrections)**: 422 meV/atom


(9)
The following is a DFT calculation (PBE-GGA) of a relaxed TaAgSb2 crystal.

a = 6.4309 Å, b = 6.4309 Å, c = 7.6635 Å
α = 65.19°, β = 65.19°, γ = 90.00°
Fractional positions:
Sb 0.6394 0.1250 0.2500
Sb 0.3750 0.3606 0.7500
Sb 0.8750 0.8894 0.7500
Sb 0.1106 0.6250 0.2500
Ta 0.7500 0.2500 0.5000
Ta 0.0000 0.0000 0.0000
Ag 0.2500 0.7500 0.5000
Ag 0.5000 0.5000 0.0000

Computed properties:
**ρ**: 6.9 g/cm3
**Formation energy (no corrections)**: 524 meV/atom


(10)
The following is a DFT calculation (PBE-GGA) of a relaxed TaAgSb2 crystal.

a = 3.6388 Å, b = 3.6059 Å, c = 7.4100 Å
α = 60.90°, β = 90.00°, γ = 90.00°
Fractional positions:
Sb 0.0000 0.5149 0.4853
Sb 0.0000 0.9851 0.0147
Ta 0.5000 0.2500 0.2500
Ag 0.5000 0.7500 0.7500

Computed properties:
**ρ**: 10.4 g/cm3
**Formation energy (no corrections)**: 148 meV/atom


(11)
The following is a DFT calculation (PBE-GGA) of a relaxed TaAgSb2Te crystal.

a = 5.3939 Å, b = 5.3939 Å, c = 5.3471 Å
α = 90.00°, β = 90.00°, γ = 90.00°
Fractional positions:
Ag 0.5000 0.5000 0.5000
Sb 0.5000 0.0000 0.0000
Sb 0.0000 0.5000 0.0000
Ta 0.0000 0.0000 0.0000
Te 0.0000 0.0000 0.5000

Computed properties:
**ρ**: 7.0 g/cm3
**Formation energy (no corrections)**: 521 meV/atom


(12)
The following is a DFT calculation (PBE-GGA) of a relaxed TaVAgSb2 crystal.

a = 5.1451 Å, b = 5.0855 Å, c = 5.1451 Å
α = 90.00°, β = 90.00°, γ = 90.00°
Last column: magnetic moment on the atom in μB.
Fractional positions:
Ag 0.0000 0.0000 0.0000  -0.01
Sb 0.0000 0.0000 0.5000  0.01
Sb 0.5000 0.0000 0.0000  0.02
V 0.5000 0.5000 0.5000  -0.07
Ta 0.0000 0.5000 0.0000  -0.48

Computed properties:
**ρ**: 7.2 g/cm3
**Formation energy (no corrections)**: 1790 meV/atom


(13)
The following is a DFT calculation (PBE-GGA) of a relaxed Y2TaAgSb crystal.

a = 5.5065 Å, b = 5.2317 Å, c = 5.5065 Å
α = 90.00°, β = 90.00°, γ = 90.00°
Fractional positions:
Y 0.0000 0.0000 0.5000
Y 0.5000 0.0000 0.0000
Sb 0.0000 0.5000 0.0000
Ag 0.5000 0.5000 0.5000
Ta 0.0000 0.0000 0.0000

Computed properties:
**ρ**: 6.2 g/cm3
**Formation energy (no corrections)**: 511 meV/atom


(14)
The following is a DFT calculation (PBE-GGA) of a relaxed TbAg2Sb crystal.

a = 3.2301 Å, b = 3.2301 Å, c = 11.0087 Å
α = 81.56°, β = 81.56°, γ = 60.00°
Fractional positions:
Sb 0.5000 0.5000 0.5000
Tb 0.0000 0.0000 0.0000
Ag 0.9095 0.9095 0.2714
Ag 0.0905 0.0905 0.7286

Computed properties:
**ρ**: 8.4 g/cm3
**Formation energy (no corrections)**: 268 meV/atom


(15)
The following is a DFT calculation (PBE-GGA) of a relaxed Tb8Ag3Sb2 crystal.

a = 6.1736 Å, b = 8.3519 Å, c = 8.5115 Å
α = 119.38°, β = 91.01°, γ = 90.00°
Fractional positions:
Tb 0.6440 0.5938 0.7702
Tb 0.8560 0.5884 0.1769
Tb 0.1440 0.4116 0.8231
Tb 0.0986 0.8187 0.6373
Tb 0.6440 0.1764 0.7702
Tb 0.3560 0.8236 0.2298
Tb 0.3560 0.4062 0.2298
Tb 0.9014 0.1813 0.3627
Ag 0.0000 0.8292 0.0000
Ag 0.0000 0.1708 0.0000
Ag 0.5000 0.0000 0.0000
Sb 0.4118 0.2376 0.4752
Sb 0.5882 0.7624 0.5248

Computed properties:
**ρ**: 8.0 g/cm3
**Formation energy (no corrections)**: -297 meV/atom


(16)
The following is a DFT calculation (PBE-GGA) of a relaxed Tb5Ag2Sb crystal.

a = 8.1345 Å, b = 8.1345 Å, c = 8.7411 Å
α = 117.73°, β = 117.73°, γ = 90.00°
Fractional positions:
Tb 0.5000 0.5000 0.0000
Tb 0.9929 0.4929 0.2959
Tb 0.5071 0.6970 0.7041
Tb 0.8030 0.9929 0.2959
Tb 0.6970 0.1970 0.7041
Tb 0.3030 0.8030 0.2959
Tb 0.1970 0.0071 0.7041
Tb 0.4929 0.3030 0.2959
Tb 0.0000 0.0000 0.0000
Tb 0.0071 0.5071 0.7041
Sb 0.7500 0.7500 0.5000
Sb 0.2500 0.2500 0.5000
Ag 0.3662 0.8662 0.0000
Ag 0.1338 0.3662 0.0000
Ag 0.6338 0.1338 0.0000
Ag 0.8662 0.6338 0.0000

Computed properties:
**ρ**: 8.6 g/cm3
**Formation energy (no corrections)**: -435 meV/atom


(17)
The following is a DFT calculation (PBE-GGA) of a relaxed TbAgSb2 crystal.

a = 4.2495 Å, b = 4.8042 Å, c = 4.8042 Å
α = 90.00°, β = 90.00°, γ = 90.00°
Fractional positions:
Sb 0.0000 0.0000 0.5000
Sb 0.0000 0.5000 0.0000
Tb 0.5000 0.5000 0.5000
Ag 0.5000 0.0000 0.0000

Computed properties:
**ρ**: 8.6 g/cm3
**Formation energy (no corrections)**: -483 meV/atom


(18)
The following is a DFT calculation (PBE-GGA) of a relaxed Tb4AgSb2 crystal.

a = 4.2343 Å, b = 7.4589 Å, c = 8.0491 Å
α = 116.90°, β = 105.25°, γ = 90.00°
Fractional positions:
Sb 0.7606 0.7686 0.5213
Sb 0.2394 0.2314 0.4787
Ag 0.0000 0.0000 0.0000
Tb 0.6174 0.3173 0.2347
Tb 0.8831 0.2377 0.7662
Tb 0.3826 0.6827 0.7653
Tb 0.1169 0.7623 0.2338

Computed properties:
**ρ**: 7.6 g/cm3
**Formation energy (no corrections)**: -537 meV/atom


(19)
The following is a DFT calculation (PBE-GGA) of a relaxed Tb5AgSb2 crystal.

a = 5.7897 Å, b = 6.6384 Å, c = 14.2214 Å
α = 90.00°, β = 90.00°, γ = 115.85°
Fractional positions:
Ag 0.7391 0.4782 0.7500
Ag 0.2609 0.5218 0.2500
Sb 0.1965 0.3929 0.9031
Sb 0.8035 0.6071 0.4031
Sb 0.1965 0.3929 0.5969
Sb 0.8035 0.6071 0.0969
Tb 0.3792 0.7585 0.0590
Tb 0.3792 0.7585 0.4410
Tb 0.0657 0.1314 0.1049
Tb 0.0657 0.1314 0.3951
Tb 0.9343 0.8686 0.8951
Tb 0.6208 0.2415 0.5590
Tb 0.9343 0.8686 0.6049
Tb 0.6208 0.2415 0.9410
Tb 0.6285 0.2570 0.2500
Tb 0.3715 0.7430 0.7500

Computed properties:
**ρ**: 7.7 g/cm3
**Formation energy (no corrections)**: -358 meV/atom


(20)
The following is a DFT calculation (PBE-GGA) of a relaxed TbAg2Sb2 crystal.

a = 4.3773 Å, b = 4.3663 Å, c = 12.4351 Å
α = 90.00°, β = 100.14°, γ = 90.00°
Fractional positions:
Ag 0.5401 0.2500 0.0803
Ag 0.4599 0.7500 0.9197
Ag 0.9602 0.2500 0.9203
Ag 0.0398 0.7500 0.0797
Sb 0.2501 0.7500 0.5001
Sb 0.1172 0.2500 0.2344
Sb 0.7499 0.2500 0.4999
Sb 0.8828 0.7500 0.7656
Tb 0.3490 0.2500 0.6981
Tb 0.6510 0.7500 0.3019

Computed properties:
**ρ**: 8.8 g/cm3
**Formation energy (no corrections)**: -480 meV/atom


(21)
The following is a DFT calculation (PBE-GGA) of a relaxed TbAgSb2 crystal.

a = 4.6109 Å, b = 4.6109 Å, c = 6.4492 Å
α = 69.05°, β = 69.05°, γ = 60.00°
Fractional positions:
Ag 0.0000 0.0000 0.0000
Sb 0.2564 0.2564 0.2307
Sb 0.7436 0.7436 0.7693
Tb 0.5000 0.5000 0.5000

Computed properties:
**ρ**: 7.8 g/cm3
**Formation energy (no corrections)**: -285 meV/atom


(22)
The following is a DFT calculation (PBE-GGA) of a relaxed TbAg2Sb crystal.

a = 4.8869 Å, b = 4.3237 Å, c = 4.3237 Å
α = 90.00°, β = 90.00°, γ = 90.00°
Fractional positions:
Ag 0.0000 0.5000 0.0000
Ag 0.0000 0.0000 0.5000
Tb 0.5000 0.0000 0.0000
Sb 0.5000 0.5000 0.5000

Computed properties:
**ρ**: 9.0 g/cm3
**Formation energy (no corrections)**: -421 meV/atom


(23)
The following is a DFT calculation (PBE-GGA) of a relaxed Tb4Ag5Sb7 crystal.

a = 6.0568 Å, b = 6.0568 Å, c = 11.4523 Å
α = 105.33°, β = 105.33°, γ = 90.00°
Fractional positions:
Tb 0.1402 0.1402 0.7635
Tb 0.8598 0.3767 0.2365
Tb 0.3767 0.8598 0.2365
Tb 0.6233 0.6233 0.7635
Ag 0.2500 0.7500 0.5000
Ag 0.7476 0.7476 0.4951
Ag 0.7500 0.2500 0.5000
Ag 0.2524 0.2524 0.5049
Ag 0.0000 0.0000 0.0000
Sb 0.3987 0.3987 0.3134
Sb 0.0854 0.6013 0.6866
Sb 0.6013 0.0854 0.6866
Sb 0.5000 0.5000 0.0000
Sb 0.9146 0.9146 0.3134
Sb 0.0000 0.5000 0.0000
Sb 0.5000 0.0000 0.0000

Computed properties:
**ρ**: 8.6 g/cm3
**Formation energy (no corrections)**: -595 meV/atom


(24)
The following is a DFT calculation (PBE-GGA) of a relaxed TbAg4Sb crystal.

a = 5.6553 Å, b = 5.6553 Å, c = 5.6553 Å
α = 60.00°, β = 60.00°, γ = 60.00°
Fractional positions:
Ag 0.1256 0.6248 0.6248
Ag 0.6248 0.1255 0.6248
Ag 0.6248 0.6248 0.6248
Ag 0.6248 0.6248 0.1255
Sb 0.0000 0.0000 0.0000
Tb 0.2500 0.2500 0.2500

Computed properties:
**ρ**: 9.2 g/cm3
**Formation energy (no corrections)**: -172 meV/atom


(25)
The following is a DFT calculation (PBE-GGA) of a relaxed TbYAgSb crystal.

a = 5.2391 Å, b = 5.2391 Å, c = 5.2391 Å
α = 60.00°, β = 60.00°, γ = 60.00°
Last column: magnetic moment on the atom in μB.
Fractional positions:
Ag 0.7500 0.7500 0.7500  0.01
Tb 0.0000 0.0000 0.0000  0.18
Sb 0.2500 0.2500 0.2500  -0.01
Y 0.5000 0.5000 0.5000  0.15

Computed properties:
**ρ**: 7.8 g/cm3
**Formation energy (no corrections)**: -559 meV/atom


(26)
The following is a DFT calculation (PBE-GGA) of a relaxed Tc2AgSb2 crystal.

a = 7.5276 Å, b = 7.5276 Å, c = 3.2640 Å
α = 90.00°, β = 90.00°, γ = 90.00°
Fractional positions:
Ag 0.0000 0.0000 0.0000
Ag 0.5000 0.5000 0.0000
Tc 0.1405 0.3595 0.0000
Tc 0.6405 0.1405 0.0000
Tc 0.8595 0.6405 0.0000
Tc 0.3595 0.8595 0.0000
Sb 0.8439 0.3439 0.5000
Sb 0.6561 0.8439 0.5000
Sb 0.3439 0.1561 0.5000
Sb 0.1561 0.6561 0.5000

Computed properties:
**ρ**: 9.8 g/cm3
**Formation energy (no corrections)**: 174 meV/atom